# 1
12
Lattice="0.240 -0.019 6.357 5.664 -1.465 -2.499 -1.654 5.821 -1.963" Properties=species:S:1:pos:R:3 comment="LaPaSb2O8, relaxed, DFT PBE" formation_energy_uncorrected_ev_per_atom=-2.327 mass_density_g_cm3=6.21 pbc="T T T"
O 2.586 0.479 0.200
O 1.152 1.465 4.691
Sb 0.769 2.530 3.162
O -0.593 3.856 3.232
O -0.755 4.467 0.114
O -0.082 1.760 1.645
La 0.000 0.000 0.000
O 3.865 0.174 3.645
O 2.806 3.555 -0.167
O 2.600 3.039 3.079
Pa 3.481 1.807 -1.266
Sb 2.952 -0.742 1.929



# 2
8
Lattice="-1.441 -4.492 -2.395 2.453 -2.794 3.764 -6.939 3.520 3.416" Properties=species:S:1:pos:R:3 comment="PrDy2Mg5, relaxed, DFT PBE" formation_enthalpy_0k_mev_per_atom=-88 mass_density_g_cm3=4.57 n_ef_per_ev_cell=6.00 pbc="T T T"
Mg 0.506 -3.643 0.684
Dy -3.329 -0.064 2.122
Mg -3.632 -1.490 4.979
Dy -2.598 -3.703 2.663
Mg -5.579 -2.339 1.899
Pr 0.000 0.000 0.000
Mg -0.348 -1.427 2.886
Mg -2.295 -2.276 -0.194



# 3
10
Lattice="3.949 0.000 0.000 -1.974 6.685 0.000 0.000 0.000 10.093" Properties=species:S:1:pos:R:3 comment="LaSm2Rh2, relaxed, DFT PBE" formation_enthalpy_0k_mev_per_atom=-633 mass_density_g_cm3=8.05 n_ef_per_ev_cell=6.03 de_polymorph_mev_per_atom=11 pbc="T T T"
Rh 1.974 6.685 4.008
Rh 0.000 3.333 1.484
Sm 1.974 1.940 3.311
La 0.000 1.267 6.531
Sm 0.000 4.745 8.358
Sm 0.000 4.745 4.704
Rh 1.974 3.352 6.531
La 1.974 5.418 1.484
Rh 0.000 0.000 9.054
Sm 1.974 1.940 9.751



# 4
8
Lattice="-1.590 4.881 -0.552 -2.406 -1.293 -4.503 -10.963 -2.481 9.650" Properties=species:S:1:pos:R:3 comment="Cs2AgBr, relaxed, DFT PBE" formation_energy_uncorrected_ev_per_atom=-0.867 mass_density_g_cm3=3.80 n_ef_per_ev_cell=1.13 de_polymorph_mev_per_atom=0 pbc="T T T"
Br -5.023 0.031 2.675
Cs -12.970 0.296 3.765
Cs -8.075 -0.753 4.531
Cs -1.990 0.811 0.830
Cs -6.884 1.861 0.064
Br -9.936 1.076 1.921
Ag -11.955 -1.751 6.891
Ag -3.005 2.858 -2.295



# 5
24
Lattice="4.154 0.000 0.000 0.000 12.921 -5.457 0.000 0.060 14.025" Properties=species:S:1:pos:R:3 comment="Sr11Cd9Au4, relaxed, DFT PBE" formation_enthalpy_0k_mev_per_atom=-454 mass_density_g_cm3=6.08 n_ef_per_ev_cell=17.02 pbc="T T T"
Au 2.077 5.847 1.118
Cd 2.077 2.033 7.988
Sr 0.000 0.000 0.000
Cd 2.077 0.840 2.621
Cd 2.077 10.241 8.826
Sr 0.000 7.638 9.794
Sr 0.000 3.806 2.513
Au 2.077 3.326 4.937
Cd 2.077 10.947 0.581
Cd 2.077 12.140 5.948
Au 2.077 7.133 7.450
Sr 0.000 12.007 3.175
Sr 0.000 2.192 10.796
Cd 2.077 6.490 4.284
Sr 0.000 0.973 5.394
Sr 0.000 9.174 6.056
Sr 0.000 10.788 -2.227
Cd 2.077 2.740 -0.257
Cd 2.077 8.145 -1.270
Sr 0.000 8.215 1.672
Au 2.077 9.654 3.632
Cd 2.077 4.836 9.838
Sr 0.000 4.765 6.897
Sr 0.000 5.343 -1.225



# 6
9
Lattice="7.129 0.001 0.001 3.565 6.173 -0.001 0.001 -0.001 7.045" Properties=species:S:1:pos:R:3 comment="KHgRuBr6, relaxed, DFT PBE" formation_energy_uncorrected_ev_per_atom=-0.629 mass_density_g_cm3=4.39 n_ef_per_ev_cell=6.36 pbc="T T T"
Ru 7.129 4.115 3.522
Br 8.083 5.932 2.065
K 10.694 6.172 7.045
Br 8.226 2.381 2.065
Br 6.032 2.381 4.980
Br 5.079 4.032 2.065
Hg 3.565 2.058 3.522
Br 6.176 5.933 4.979
Br 9.179 4.033 4.980



# 7
4
Lattice="-2.520 -0.835 -1.823 -0.793 -2.273 2.138 -3.776 4.351 3.225" Properties=species:S:1:pos:R:3 comment="Pa2TcC, relaxed, DFT PBE" formation_enthalpy_0k_mev_per_atom=33 mass_density_g_cm3=13.87 n_ef_per_ev_cell=4.27 de_polymorph_mev_per_atom=245 pbc="T T T"
Tc -3.545 0.621 1.770
C -1.657 -1.554 0.158
Pa -0.823 0.948 0.703
Pa -2.953 3.403 2.522



# 8
5
Lattice="-0.997 -1.325 -4.639 3.069 -3.829 0.434 -3.722 -2.802 1.600" Properties=species:S:1:pos:R:3 comment="InAs3Ir, relaxed, DFT PBE" formation_enthalpy_0k_mev_per_atom=502 mass_density_g_cm3=7.39 n_ef_per_ev_cell=6.07 de_polymorph_mev_per_atom=0 pbc="T T T"
As -1.861 -1.401 0.800
As -0.498 -0.662 -2.319
Ir 0.000 0.000 0.000
In -0.825 -3.978 -1.302
As 1.535 -1.914 0.217



# 9
8
Lattice="-3.454 0.852 0.831 -3.943 -7.814 -8.378 -0.454 -5.217 3.460" Properties=species:S:1:pos:R:3 comment="LaNd2Sm4Er, relaxed, DFT PBE" formation_enthalpy_0k_mev_per_atom=19 mass_density_g_cm3=7.26 n_ef_per_ev_cell=12.22 pbc="T T T"
Sm -3.061 -5.451 0.896
Sm -4.555 -2.411 -0.398
Sm -4.790 -6.728 -4.982
Sm -3.296 -9.768 -3.689
Nd -0.454 -5.217 3.460
Er -2.198 -6.515 -2.459
La -4.152 -8.698 -0.313
Nd -1.954 -2.183 2.146



# 10
3
Lattice="3.511 0.000 0.000 0.000 3.511 0.000 -1.756 -1.756 4.865" Properties=species:S:1:pos:R:3 comment="NpPaRu, relaxed, DFT PBE" formation_enthalpy_0k_mev_per_atom=-102 mass_density_g_cm3=15.76 n_ef_per_ev_cell=7.09 de_polymorph_mev_per_atom=30 pbc="T T T"
Np 0.000 0.000 0.038
Ru 1.756 1.756 1.641
Pa 0.000 0.000 3.186



# 11
3
Lattice="3.325 0.000 0.000 -1.662 2.879 0.000 0.000 0.000 7.603" Properties=species:S:1:pos:R:3 comment="KMgNi, relaxed, DFT PBE" formation_enthalpy_0k_mev_per_atom=541 mass_density_g_cm3=2.79 n_ef_per_ev_cell=2.50 de_polymorph_mev_per_atom=235 pbc="T T T"
Mg 1.662 0.960 3.100
Ni 0.000 1.919 4.806
K 0.000 0.000 7.300



# 12
8
Lattice="6.735 0.000 0.000 0.000 6.735 0.000 3.368 3.368 6.866" Properties=species:S:1:pos:R:3 comment="CaCrI2, relaxed, DFT PBE" formation_energy_uncorrected_ev_per_atom=-0.219 mass_density_g_cm3=3.69 n_ef_per_ev_cell=4.96 de_polymorph_mev_per_atom=47 pbc="T T T"
I 8.419 8.687 5.150
Ca 3.368 3.368 0.000
I 5.052 4.784 5.150
Cr 6.735 3.368 3.433
I 1.416 5.052 1.717
I 5.319 1.684 1.717
Ca 3.368 6.735 3.433
Cr 0.000 0.000 0.000



# 13
11
Lattice="5.248 0.000 -2.114 -0.693 7.757 -1.720 -0.270 -0.564 6.900" Properties=species:S:1:pos:R:3 comment="Tm5PSe5, relaxed, DFT PBE" formation_energy_uncorrected_ev_per_atom=-1.813 mass_density_g_cm3=7.80 n_ef_per_ev_cell=3.30 pbc="T T T"
Se 1.096 4.787 2.721
Tm 4.118 0.906 2.650
Se -0.346 3.879 -0.860
Se 1.449 0.928 3.596
Tm 3.758 4.844 1.758
Se 3.189 2.406 0.345
Tm 0.167 6.287 0.415
P 0.000 0.000 0.000
Tm 0.527 2.350 1.308
Se 2.836 6.266 -0.530
Tm 2.624 0.000 -1.057



# 14
24
Lattice="4.583 0.000 0.000 0.000 13.191 0.000 0.000 0.000 13.134" Properties=species:S:1:pos:R:3 comment="Sr3Cd2Rh, relaxed, DFT PBE" formation_enthalpy_0k_mev_per_atom=-334 mass_density_g_cm3=4.94 n_ef_per_ev_cell=13.27 pbc="T T T"
Cd 3.438 13.027 9.197
Rh 1.146 1.720 1.609
Sr 3.438 7.206 8.052
Cd 1.146 6.432 10.504
Cd 3.438 2.483 0.209
Sr 3.438 12.581 1.485
Sr 1.146 10.434 9.607
Sr 1.146 5.985 5.082
Rh 1.146 4.876 8.176
Sr 3.438 2.758 3.527
Sr 1.146 1.687 7.254
Sr 3.438 11.504 5.880
Cd 3.438 6.760 2.630
Cd 1.146 9.078 6.358
Sr 3.438 3.838 10.094
Rh 3.438 11.471 11.525
Sr 3.438 8.283 12.447
Sr 1.146 9.353 3.040
Cd 3.438 4.113 6.776
Rh 3.438 8.315 4.958
Cd 1.146 0.164 3.937
Sr 1.146 4.908 0.687
Sr 1.146 0.610 11.649
Cd 1.146 10.709 12.925



# 15
12
Lattice="6.305 0.000 0.000 0.000 6.305 0.000 0.000 0.000 8.758" Properties=species:S:1:pos:R:3 comment="RbPuSe4, relaxed, DFT PBE" formation_energy_uncorrected_ev_per_atom=-0.986 mass_density_g_cm3=6.16 n_ef_per_ev_cell=22.19 pbc="T T T"
Se 0.866 4.018 1.742
Rb 0.000 0.000 4.379
Se 0.866 2.287 7.016
Se 4.018 0.866 7.016
Se 5.439 4.018 7.016
Se 2.287 5.439 7.016
Pu 3.153 3.153 0.000
Rb 3.153 3.153 4.379
Se 5.439 2.287 1.742
Pu 0.000 0.000 0.000
Se 4.018 5.439 1.742
Se 2.287 0.866 1.742



# 16
5
Lattice="-2.967 1.984 4.239 -3.731 0.270 -2.738 -1.419 -5.164 1.424" Properties=species:S:1:pos:R:3 comment="GeTe2IrPb, relaxed, DFT PBE" formation_energy_uncorrected_ev_per_atom=0.566 mass_density_g_cm3=8.48 n_ef_per_ev_cell=5.41 pbc="T T T"
Te -0.709 -2.582 0.712
Pb -4.058 -1.455 1.462
Te -1.483 0.992 2.119
Ir -1.866 0.135 -1.369
Ge 0.000 0.000 0.000



# 17
7
Lattice="-1.040 0.114 3.675 -3.606 0.378 -1.032 0.884 -8.919 0.526" Properties=species:S:1:pos:R:3 comment="Li4ErPd2, relaxed, DFT PBE" formation_enthalpy_0k_mev_per_atom=-400 mass_density_g_cm3=5.36 n_ef_per_ev_cell=3.30 de_polymorph_mev_per_atom=5 pbc="T T T"
Li -2.907 -5.303 1.328
Li -0.595 -5.656 0.006
Pd -1.297 -7.327 1.846
Li -2.127 -2.885 -0.512
Li -0.855 -3.124 1.841
Er 0.000 0.000 0.000
Pd -2.464 -1.100 1.323



# 18
4
Lattice="5.508 0.000 0.000 2.010 5.129 0.000 -3.759 -2.564 3.104" Properties=species:S:1:pos:R:3 comment="Hg2MoCl, relaxed, DFT PBE" formation_energy_uncorrected_ev_per_atom=0.634 mass_density_g_cm3=10.08 n_ef_per_ev_cell=1.65 de_polymorph_mev_per_atom=466 pbc="T T T"
Hg 1.005 2.564 1.552
Cl 2.754 0.000 1.552
Mo 3.759 2.564 0.000
Hg 0.000 0.000 0.000



# 19
24
Lattice="-1.036 3.476 -0.297 -7.841 -3.143 -9.415 -5.478 -0.660 11.382" Properties=species:S:1:pos:R:3 comment="Tb11Zn9Pd4, relaxed, DFT PBE" formation_enthalpy_0k_mev_per_atom=-517 mass_density_g_cm3=8.55 n_ef_per_ev_cell=18.45 pbc="T T T"
Tb -7.439 -2.721 -5.882
Tb -6.980 -2.238 -1.835
Tb 0.000 0.000 0.000
Tb -6.339 -1.565 3.802
Tb -3.607 -1.341 -3.105
Zn -5.222 0.823 5.551
Pd -5.401 0.170 -1.461
Zn -7.178 -0.163 0.835
Tb -9.712 -2.462 5.072
Zn -9.134 -1.150 -3.882
Zn -12.237 -1.746 -0.033
Zn -8.015 0.026 5.964
Pd -9.409 -0.974 -0.869
Tb -3.706 -1.058 0.547
Tb -9.613 -2.745 1.420
Tb -5.880 -1.082 7.849
Tb -10.525 -3.316 -2.083
Pd -8.954 -0.496 3.131
Zn -6.340 -0.352 -4.294
Tb -2.794 -0.487 4.050
Zn -2.479 1.040 -1.474
Zn -2.118 1.420 1.702
Pd -4.947 0.648 2.539
Zn -11.877 -1.367 3.143



# 20
14
Lattice="-0.065 8.255 -0.737 -6.648 -3.154 -3.815 -0.184 -2.085 8.020" Properties=species:S:1:pos:R:3 comment="Pr5NdTl8, relaxed, DFT PBE" formation_enthalpy_0k_mev_per_atom=-311 mass_density_g_cm3=9.41 n_ef_per_ev_cell=13.31 pbc="T T T"
Tl -0.760 6.185 4.637
Nd -3.478 -1.077 3.923
Pr -4.337 2.914 2.076
Tl -1.795 4.960 1.483
Tl -1.772 0.830 1.852
Pr -0.852 2.689 -0.740
Pr -2.563 6.814 -1.168
Tl -5.082 -2.449 1.388
Tl -4.980 -1.406 -2.623
Pr -5.923 3.957 -1.989
Tl -3.958 1.514 -0.905
Tl -6.282 0.424 3.070
Pr -0.125 3.085 3.641
Tl -2.959 2.008 4.970



# 21
5
Lattice="-1.330 -4.478 -1.616 2.789 0.344 -3.246 3.515 -2.055 2.802" Properties=species:S:1:pos:R:3 comment="Hf2MgRuC, relaxed, DFT PBE" formation_enthalpy_0k_mev_per_atom=2396 mass_density_g_cm3=7.83 n_ef_per_ev_cell=5.71 pbc="T T T"
Hf -0.665 -2.239 -0.808
Ru 1.394 0.172 -1.623
Mg 0.000 0.000 0.000
C 2.487 -3.095 -1.030
Hf 1.757 -1.028 1.401



# 22
12
Lattice="4.601 0.000 0.000 0.000 4.601 0.000 -2.301 -2.301 5.444" Properties=species:S:1:pos:R:3 comment="ScPaB2O8, relaxed, DFT PBE" formation_energy_uncorrected_ev_per_atom=-2.532 mass_density_g_cm3=6.13 n_ef_per_ev_cell=3.81 pbc="T T T"
O 0.558 3.432 1.934
B 2.301 2.301 0.000
O -0.558 1.169 1.934
B 0.000 2.301 2.722
O 1.129 -0.604 4.687
O -1.131 2.858 3.510
Sc 0.000 0.000 0.000
O 1.697 1.171 0.756
O 2.905 3.430 0.756
O -1.129 0.604 4.687
O 1.131 1.743 3.510
Pa 2.301 0.000 2.722